#i
This record from the Alexandria database describes a relaxed Mg2NbFe crystal. The functional is PBE.

The density of states at the Fermi level is 3.900 states/eV per cell. As for the space group: Fm-3m, No. 225. For the volume, the calculation gives 16.436 Å³/atom.

Cell: 4.5303 4.5303 4.5303 Å, 60.00 60.00 60.00°
Closest atoms and distances in Å follow each position.
Fractional coordinates of all 4 atoms:
Mg  0.2500  0.2500  0.2500  4 Nb 2.77, 4 Fe 2.77
Mg  0.7500  0.7500  0.7500  4 Nb 2.77, 4 Fe 2.77
Nb  0.5000  0.5000  0.5000  8 Mg 2.77
Fe  0.0000  0.0000  0.0000  8 Mg 2.77

---

#ii
This record from the Alexandria database describes a relaxed Mg2NbFe crystal. The functional is PBE.

The density of states at the Fermi level is 7.787 states/eV per cell. As for the space group: I-42d, No. 122. For the volume, the calculation gives 18.136 Å³/atom.

Cell: 7.4688 7.4688 5.8870 Å, 50.63 50.63 90.00°
Closest atoms and distances in Å follow each position.
Fractional coordinates of all 8 atoms:
Mg  0.5880  0.1250  0.2500  2 Fe 2.54, 2 Mg 2.66
Mg  0.1620  0.6250  0.2500  2 Fe 2.54, 2 Mg 2.66
Mg  0.3750  0.4120  0.7500  2 Fe 2.54, 2 Mg 2.66
Mg  0.8750  0.8380  0.7500  2 Fe 2.54, 2 Mg 2.66
Nb  0.0000  0.0000  0.0000  2 Fe 2.60
Nb  0.7500  0.2500  0.5000  2 Fe 2.60
Fe  0.5000  0.5000  0.0000  4 Mg 2.54, 2 Nb 2.60
Fe  0.2500  0.7500  0.5000  4 Mg 2.54, 2 Nb 2.60

---

It is #i that is most stable; the runner-up trails by 0.046 eV/atom.